The following is a DFT calculation (PBE) of a relaxed structure of TaMn2Cl2.

Cell and atoms, written as CIF:
```
data_TaMn2Cl2
_cell_length_a 3.808
_cell_length_b 3.808
_cell_length_c 9.758
_cell_angle_alpha 90.00
_cell_angle_beta 90.00
_cell_angle_gamma 90.00
_space_group_name_H-M_alt 'I 4/m m m'
_space_group_IT_number 139
_space_group_name_Hall '-I 4 2'
loop_
_atom_site_label
_atom_site_type_symbol
_atom_site_fract_x
_atom_site_fract_y
_atom_site_fract_z
_atom_site_occupancy
Ta1 Ta 0.000 0.000 0.000 1
Mn1 Mn 0.000 0.500 0.250 1
Cl1 Cl 0.000 0.000 0.363 1
```

=====

The following is a DFT calculation (PBE) of a relaxed structure of TaMnCl2.

Cell and atoms, written as CIF:
```
data_TaMnCl2
_cell_length_a 3.2039
_cell_length_b 3.2039
_cell_length_c 27.1610
_cell_angle_alpha 90.00
_cell_angle_beta 90.00
_cell_angle_gamma 120.00
_space_group_name_H-M_alt 'R 3 m'
_space_group_IT_number 160
_space_group_name_Hall 'R 3 -2"'
loop_
_atom_site_label
_atom_site_type_symbol
_atom_site_fract_x
_atom_site_fract_y
_atom_site_fract_z
_atom_site_occupancy
Ta1 Ta 0.0000 0.0000 0.0000 1
Mn1 Mn 0.0000 0.0000 0.7460 1
Cl1 Cl 0.0000 0.0000 0.2699 1
Cl2 Cl 0.0000 0.0000 0.4719 1
```

=====

The following is a DFT calculation (PBE) of a relaxed structure of TaMn3Cl.

Cell and atoms, written as CIF:
```
data_TaMn3Cl
_cell_length_a 4.832
_cell_length_b 4.832
_cell_length_c 4.832
_cell_angle_alpha 90.00
_cell_angle_beta 90.00
_cell_angle_gamma 90.00
_space_group_name_H-M_alt 'P m -3 m'
_space_group_IT_number 221
_space_group_name_Hall '-P 4 2 3'
loop_
_atom_site_label
_atom_site_type_symbol
_atom_site_fract_x
_atom_site_fract_y
_atom_site_fract_z
_atom_site_occupancy
Ta1 Ta 0.000 0.000 0.000 1
Mn1 Mn 0.000 0.000 0.500 1
Cl1 Cl 0.500 0.500 0.500 1
```

=====

The following is a DFT calculation (PBE) of a relaxed structure of TaMnCl2.

Cell and atoms, written as CIF:
```
data_TaMnCl2
_cell_length_a 2.928
_cell_length_b 4.283
_cell_length_c 5.654
_cell_angle_alpha 90.00
_cell_angle_beta 90.00
_cell_angle_gamma 90.00
_space_group_name_H-M_alt 'P m m m'
_space_group_IT_number 47
_space_group_name_Hall '-P 2 2'
loop_
_atom_site_label
_atom_site_type_symbol
_atom_site_fract_x
_atom_site_fract_y
_atom_site_fract_z
_atom_site_occupancy
Ta1 Ta 0.000 0.000 0.000 1
Mn1 Mn 0.500 0.000 0.500 1
Cl1 Cl 0.000 0.500 0.500 1
Cl2 Cl 0.500 0.500 0.000 1
```

=====

The following is a DFT calculation (PBE) of a relaxed structure of TaMnCl2.

Cell and atoms, written as CIF:
```
data_TaMnCl2
_cell_length_a 3.439
_cell_length_b 5.085
_cell_length_c 9.340
_cell_angle_alpha 90.00
_cell_angle_beta 90.00
_cell_angle_gamma 90.00
_space_group_name_H-M_alt 'C m m 2'
_space_group_IT_number 35
_space_group_name_Hall 'C 2 -2'
loop_
_atom_site_label
_atom_site_type_symbol
_atom_site_fract_x
_atom_site_fract_y
_atom_site_fract_z
_atom_site_occupancy
Ta1 Ta 0.000 0.000 0.000 1
Mn1 Mn 0.000 0.500 0.232 1
Cl1 Cl 0.000 0.000 0.410 1
Cl2 Cl 0.000 0.500 0.800 1
```

=====

The following is a DFT calculation (PBE) of a relaxed structure of TaMnCl2.

Cell and atoms, written as CIF:
```
data_TaMnCl2
_cell_length_a 3.019
_cell_length_b 3.019
_cell_length_c 8.625
_cell_angle_alpha 90.00
_cell_angle_beta 90.00
_cell_angle_gamma 90.00
_space_group_name_H-M_alt 'P 4 m m'
_space_group_IT_number 99
_space_group_name_Hall 'P 4 -2'
loop_
_atom_site_label
_atom_site_type_symbol
_atom_site_fract_x
_atom_site_fract_y
_atom_site_fract_z
_atom_site_occupancy
Ta1 Ta 0.000 0.000 0.000 1
Mn1 Mn 0.500 0.500 0.773 1
Cl1 Cl 0.000 0.000 0.598 1
Cl2 Cl 0.500 0.500 0.192 1
```

=====

The following is a DFT calculation (PBE) of a relaxed structure of TaMnCl2.

Cell and atoms, written as CIF:
```
data_TaMnCl2
_cell_length_a 5.979
_cell_length_b 7.418
_cell_length_c 2.993
_cell_angle_alpha 90.00
_cell_angle_beta 90.00
_cell_angle_gamma 90.00
_space_group_name_H-M_alt 'C m m m'
_space_group_IT_number 65
_space_group_name_Hall '-C 2 2'
loop_
_atom_site_label
_atom_site_type_symbol
_atom_site_fract_x
_atom_site_fract_y
_atom_site_fract_z
_atom_site_occupancy
Ta1 Ta 0.000 0.000 0.000 1
Mn1 Mn 0.000 0.500 0.000 1
Cl1 Cl 0.250 0.250 0.500 1
```

=====

The following is a DFT calculation (PBE) of a relaxed structure of TaMnCl2.

Cell and atoms, written as CIF:
```
data_TaMnCl2
_cell_length_a 2.947
_cell_length_b 5.736
_cell_length_c 9.821
_cell_angle_alpha 90.00
_cell_angle_beta 90.00
_cell_angle_gamma 90.00
_space_group_name_H-M_alt 'C m m m'
_space_group_IT_number 65
_space_group_name_Hall '-C 2 2'
loop_
_atom_site_label
_atom_site_type_symbol
_atom_site_fract_x
_atom_site_fract_y
_atom_site_fract_z
_atom_site_occupancy
Ta1 Ta 0.000 0.000 0.000 1
Mn1 Mn 0.000 0.000 0.500 1
Cl1 Cl 0.000 0.500 0.207 1
```

=====

The following is a DFT calculation (PBE) of a relaxed structure of TaMnCl2.

Cell and atoms, written as CIF:
```
data_TaMnCl2
_cell_length_a 3.644
_cell_length_b 3.644
_cell_length_c 10.327
_cell_angle_alpha 90.00
_cell_angle_beta 90.00
_cell_angle_gamma 90.00
_space_group_name_H-M_alt 'I -4 m 2'
_space_group_IT_number 119
_space_group_name_Hall 'I -4 -2'
loop_
_atom_site_label
_atom_site_type_symbol
_atom_site_fract_x
_atom_site_fract_y
_atom_site_fract_z
_atom_site_occupancy
Ta1 Ta 0.000 0.000 0.000 1
Mn1 Mn 0.000 0.500 0.250 1
Cl1 Cl 0.000 0.000 0.500 1
Cl2 Cl 0.000 0.500 0.750 1
```

=====

The following is a DFT calculation (PBE) of a relaxed structure of TaMnCl.

Cell and atoms, written as CIF:
```
data_TaMnCl
_cell_length_a 3.256
_cell_length_b 4.985
_cell_length_c 12.619
_cell_angle_alpha 90.00
_cell_angle_beta 90.00
_cell_angle_gamma 90.00
_space_group_name_H-M_alt 'F m m 2'
_space_group_IT_number 42
_space_group_name_Hall 'F 2 -2'
loop_
_atom_site_label
_atom_site_type_symbol
_atom_site_fract_x
_atom_site_fract_y
_atom_site_fract_z
_atom_site_occupancy
Ta1 Ta 0.000 0.000 0.000 1
Mn1 Mn 0.000 0.000 0.342 1
Cl1 Cl 0.000 0.000 0.669 1
```

=====

The following is a DFT calculation (PBE) of a relaxed structure of TaMnCl2.

Cell and atoms, written as CIF:
```
data_TaMnCl2
_cell_length_a 4.564
_cell_length_b 4.564
_cell_length_c 3.088
_cell_angle_alpha 90.00
_cell_angle_beta 90.00
_cell_angle_gamma 90.00
_space_group_name_H-M_alt 'P 4/m m m'
_space_group_IT_number 123
_space_group_name_Hall '-P 4 2'
loop_
_atom_site_label
_atom_site_type_symbol
_atom_site_fract_x
_atom_site_fract_y
_atom_site_fract_z
_atom_site_occupancy
Ta1 Ta 0.000 0.000 0.000 1
Mn1 Mn 0.500 0.500 0.000 1
Cl1 Cl 0.000 0.500 0.500 1
```

=====

The following is a DFT calculation (PBE) of a relaxed structure of TaMnCl.

Cell and atoms, written as CIF:
```
data_TaMnCl
_cell_length_a 6.107
_cell_length_b 6.107
_cell_length_c 6.107
_cell_angle_alpha 90.00
_cell_angle_beta 90.00
_cell_angle_gamma 90.00
_space_group_name_H-M_alt 'F -4 3 m'
_space_group_IT_number 216
_space_group_name_Hall 'F -4 2 3'
loop_
_atom_site_label
_atom_site_type_symbol
_atom_site_fract_x
_atom_site_fract_y
_atom_site_fract_z
_atom_site_occupancy
Ta1 Ta 0.000 0.000 0.000 1
Mn1 Mn 0.250 0.250 0.750 1
Cl1 Cl 0.250 0.250 0.250 1
```

=====

The following is a DFT calculation (PBE) of a relaxed structure of TaMn3Cl.

Cell and atoms, written as CIF:
```
data_TaMn3Cl
_cell_length_a 4.078
_cell_length_b 4.078
_cell_length_c 4.078
_cell_angle_alpha 90.00
_cell_angle_beta 90.00
_cell_angle_gamma 90.00
_space_group_name_H-M_alt 'P m -3 m'
_space_group_IT_number 221
_space_group_name_Hall '-P 4 2 3'
loop_
_atom_site_label
_atom_site_type_symbol
_atom_site_fract_x
_atom_site_fract_y
_atom_site_fract_z
_atom_site_occupancy
Ta1 Ta 0.000 0.000 0.000 1
Mn1 Mn 0.000 0.500 0.500 1
Cl1 Cl 0.500 0.500 0.500 1
```

=====

The following is a DFT calculation (PBE) of a relaxed structure of TaMnCl2.

Cell and atoms, written as CIF:
```
data_TaMnCl2
_cell_length_a 2.985
_cell_length_b 4.633
_cell_length_c 12.025
_cell_angle_alpha 90.00
_cell_angle_beta 90.00
_cell_angle_gamma 90.00
_space_group_name_H-M_alt 'I m m 2'
_space_group_IT_number 44
_space_group_name_Hall 'I 2 -2'
loop_
_atom_site_label
_atom_site_type_symbol
_atom_site_fract_x
_atom_site_fract_y
_atom_site_fract_z
_atom_site_occupancy
Ta1 Ta 0.000 0.000 0.000 1
Mn1 Mn 0.000 0.500 0.684 1
Cl1 Cl 0.000 0.000 0.510 1
Cl2 Cl 0.000 0.500 0.319 1
```

=====

The following is a DFT calculation (PBE) of a relaxed structure of TaMn2Cl2.

Cell and atoms, written as CIF:
```
data_TaMn2Cl2
_cell_length_a 7.297
_cell_length_b 7.297
_cell_length_c 3.054
_cell_angle_alpha 90.00
_cell_angle_beta 90.00
_cell_angle_gamma 90.00
_space_group_name_H-M_alt 'P 4/m b m'
_space_group_IT_number 127
_space_group_name_Hall '-P 4 2ab'
loop_
_atom_site_label
_atom_site_type_symbol
_atom_site_fract_x
_atom_site_fract_y
_atom_site_fract_z
_atom_site_occupancy
Ta1 Ta 0.000 0.000 0.000 1
Mn1 Mn 0.184 0.316 0.500 1
Cl1 Cl 0.142 0.642 0.000 1
```

=====

no.,formation energy without anion corrections (eV/f.u.),energy above the most stable polymorph in this dataset (meV per atom),magnetization (μB/cell)
1,4.61,460,0.00
2,-2.20,33,12.14
3,6.65,500,8.66
4,0.99,831,3.44
5,-1.28,262,8.21
6,-1.28,263,3.49
7,2.13,1114,7.54
8,0.20,631,8.96
9,2.07,1100,4.36
10,0.56,139,11.75
11,2.22,1138,3.38
12,3.00,950,3.98
13,4.15,0,0.00
14,0.46,696,6.30
15,2.47,33,14.01